P:
## Dy3Y2In2 (PBE)

Data for Dy3Y2In2 after structural relaxation.

Calculated values
Symmetry: No. 12
Spin magnetization in μB per atom: 0.00

Lattice parameters (Å, degrees): 6.3089 6.3089 6.8922 90.63 90.63 48.56
Last column: nearest neighbours and their distance in Å.
Fractional coordinates of all 7 atoms:
Dy 0.0000 0.0000 0.0000  2 In 3.19, 2 Dy 3.55
Dy 0.2937 0.2937 0.1636  3 In 3.27-3.54, 3 Dy 3.55-3.57, 3 Y 3.56-3.59
Dy 0.7063 0.7063 0.8364  3 In 3.27-3.54, 3 Dy 3.55-3.57, 3 Y 3.56-3.59
Y 0.3995 0.3995 0.6805  3 In 3.18-3.27, 1 Y 3.42, 1 Dy 3.56
Y 0.6005 0.6005 0.3195  3 In 3.18-3.27, 1 Y 3.42, 1 Dy 3.56
In 0.1203 0.1203 0.5849  1 In 2.99, 3 Y 3.18-3.27, 3 Dy 3.19-3.27
In 0.8797 0.8797 0.4151  1 In 2.99, 3 Y 3.18-3.27, 3 Dy 3.19-3.27



Q:
## Dy3Y2In2 (PBE)

Data for Dy3Y2In2 after structural relaxation.

Calculated values
Symmetry: No. 65
Spin magnetization in μB per atom: 0.06

Lattice parameters (Å, degrees): 12.0986 12.0986 3.4468 90.00 90.00 156.55
Last column: nearest neighbours and their distance in Å.
Fractional coordinates of all 7 atoms:
Dy 0.0000 0.0000 0.0000  4 Dy 3.35-3.45, 8 In 3.44
Dy 0.1416 0.8584 0.0000  3 Dy 3.35-3.45, 4 In 3.43, 4 Y 3.46
Dy 0.8584 0.1416 0.0000  3 Dy 3.35-3.45, 4 In 3.43, 4 Y 3.46
Y 0.2862 0.7138 0.5000  2 Y 3.00
Y 0.7138 0.2862 0.5000  2 Y 3.00
In 0.4287 0.5713 0.5000  3 In 3.38-3.45, 1 Y 3.38, 8 Dy 3.43-3.44
In 0.5713 0.4287 0.5000  3 In 3.38-3.45, 1 Y 3.38, 8 Dy 3.43-3.44



Winner for stability: P